Model one:
A plane-wave DFT calculation with GGA-PBE was carried out for an optimized crystal structure of HgH2Pd.

The structure in POSCAR format:
```
HgH2Pd
1.0
2.953 0.000 0.000
1.476 2.557 0.000
1.476 0.852 6.712
H Pd Hg
2 1 1
Direct
0.130 0.130 0.610
0.870 0.870 0.390
0.500 0.500 0.500
0.000 0.000 0.000
```

Output
- Magnetization: 0.00 μB/cell
- ρ: 10.1 g cm⁻³

Model two:
A plane-wave DFT calculation with GGA-PBE was carried out for an optimized crystal structure of HgH2Pd.

The structure in POSCAR format:
```
HgH2Pd
1.0
-3.190 -2.953 -3.321
0.798 -3.925 -6.690
1.363 -5.403 -1.211
Hg H Pd
2 4 2
Direct
0.250 0.135 0.729
0.750 0.865 0.271
0.437 0.434 0.744
0.063 0.823 0.744
0.937 0.177 0.256
0.563 0.566 0.256
0.750 0.202 0.595
0.250 0.798 0.405
```

Output
- Magnetization: 0.00 μB/cell
- ρ: 8.5 g cm⁻³

How do the energies compare? Relative to the most stable structure, in meV per atom: model one 8; model two 0.

Model one:
A plane-wave DFT calculation with GGA-PBE was carried out for an optimized crystal structure of HgH2Pd2.

The structure in POSCAR format:
```
HgH2Pd2
1.0
-2.964 -1.487 0.240
1.156 -2.586 -1.742
0.618 -4.352 3.695
H Pd Hg
2 2 1
Direct
0.750 0.250 0.500
0.250 0.750 0.500
0.661 0.661 0.678
0.339 0.339 0.322
0.000 0.000 0.000
```

Output
- Magnetization: 0.00 μB/cell
- ρ: 11.9 g cm⁻³

Model two:
A plane-wave DFT calculation with GGA-PBE was carried out for an optimized crystal structure of HgH2Pd2.

The structure in POSCAR format:
```
HgH2Pd2
1.0
-4.100 -1.499 -2.722
-0.810 -0.042 5.081
0.972 5.313 -1.402
Hg H Pd
2 4 4
Direct
0.873 0.127 0.750
0.127 0.873 0.250
0.241 0.492 0.480
0.759 0.508 0.520
0.492 0.241 0.980
0.508 0.759 0.020
0.544 0.456 0.750
0.456 0.544 0.250
0.799 0.201 0.250
0.201 0.799 0.750
```

Output
- Magnetization: 0.00 μB/cell
- ρ: 11.9 g cm⁻³

How do the energies compare? Relative to the most stable structure, in meV per atom: model one 7; model two 0.

Model one:
A plane-wave DFT calculation with GGA-PBE was carried out for an optimized crystal structure of HgH2Pd6.

The structure in POSCAR format:
```
HgH2Pd6
1.0
4.615 1.537 1.052
3.931 6.478 0.457
-0.174 -0.307 5.001
Pd Hg H
6 1 2
Direct
0.862 0.209 0.369
0.699 0.936 0.219
0.301 0.064 0.781
0.434 0.347 0.927
0.138 0.791 0.631
0.566 0.653 0.073
0.000 0.500 0.500
0.190 0.690 0.958
0.810 0.310 0.042
```

Output
- Magnetization: 0.00 μB/cell
- ρ: 11.7 g cm⁻³

Model two:
A plane-wave DFT calculation with GGA-PBE was carried out for an optimized crystal structure of HgH2Pd6.

The structure in POSCAR format:
```
HgH2Pd6
1.0
2.875 0.000 0.000
1.437 4.686 0.335
1.437 2.568 9.281
Pd H Hg
6 2 1
Direct
0.351 0.230 0.068
0.246 0.869 0.640
0.065 0.673 0.197
0.754 0.131 0.360
0.649 0.770 0.932
0.935 0.327 0.803
0.874 0.066 0.185
0.126 0.934 0.815
0.000 0.500 0.500
```

Output
- Magnetization: 0.00 μB/cell
- ρ: 11.4 g cm⁻³

How do the energies compare? Relative to the most stable structure, in meV per atom: model one 0; model two 56.

Model one:
A plane-wave DFT calculation with GGA-PBE was carried out for an optimized crystal structure of HgHPdPt2.

The structure in POSCAR format:
```
HgHPdPt2
1.0
-1.969 3.206 -1.078
-2.435 -2.209 -2.123
-2.785 -0.472 3.686
Pt Pd Hg H
2 1 1 1
Direct
0.500 0.000 0.000
0.000 0.500 0.000
0.500 0.500 0.500
0.000 0.000 0.500
0.000 0.000 0.000
```

Output
- Magnetization: 0.00 μB/cell
- ρ: 16.3 g cm⁻³

Model two:
A plane-wave DFT calculation with GGA-PBE was carried out for an optimized crystal structure of HgHPdPt2.

The structure in POSCAR format:
```
HgHPdPt2
1.0
4.030 0.000 0.000
0.000 4.030 0.000
0.000 0.000 4.291
Pt Pd Hg H
2 1 1 1
Direct
0.500 0.000 0.000
0.000 0.500 0.000
0.000 0.000 0.500
0.500 0.500 0.500
0.000 0.000 0.000
```

Output
- Magnetization: 0.00 μB/cell
- ρ: 16.6 g cm⁻³

How do the energies compare? Relative to the most stable structure, in meV per atom: model one 112; model two 0.

Model one:
A plane-wave DFT calculation with GGA-PBE was carried out for an optimized crystal structure of ScHgHPd2.

The structure in POSCAR format:
```
ScHgHPd2
1.0
-0.484 3.242 3.851
-1.653 -3.947 3.115
4.780 -0.918 1.373
Pd Sc Hg H
2 1 1 1
Direct
0.000 0.000 0.500
0.500 0.000 0.000
0.000 0.500 0.000
0.000 0.000 0.000
0.500 0.500 0.500
```

Output
- Magnetization: 0.00 μB/cell
- ρ: 5.6 g cm⁻³

Model two:
A plane-wave DFT calculation with GGA-PBE was carried out for an optimized crystal structure of ScHgHPd2.

The structure in POSCAR format:
```
ScHgHPd2
1.0
4.152 0.000 0.000
0.000 4.152 0.000
0.000 0.000 4.266
Pd Hg H Sc
2 1 1 1
Direct
0.000 0.500 0.000
0.500 0.000 0.000
0.500 0.500 0.500
0.000 0.000 0.000
0.000 0.000 0.500
```

Output
- Magnetization: 0.00 μB/cell
- ρ: 10.4 g cm⁻³

How do the energies compare? Relative to the most stable structure, in meV per atom: model one 1565; model two 0.

Model one:
A plane-wave DFT calculation with GGA-PBE was carried out for an optimized crystal structure of TlHg2HPd.

The structure in POSCAR format:
```
TlHg2HPd
1.0
-5.000 1.579 -1.285
-0.243 -3.846 -3.781
-1.274 -2.171 2.290
H Hg Pd Tl
1 2 1 1
Direct
0.000 0.000 0.000
0.000 0.500 0.000
0.500 0.000 0.000
0.000 0.000 0.500
0.500 0.500 0.500
```

Output
- Magnetization: 0.00 μB/cell
- ρ: 11.9 g cm⁻³

Model two:
A plane-wave DFT calculation with GGA-PBE was carried out for an optimized crystal structure of TlHg2HPd.

The structure in POSCAR format:
```
TlHg2HPd
1.0
-1.609 -5.260 -0.743
1.626 0.251 -5.301
3.162 -1.097 0.918
Tl H Hg Pd
1 1 2 1
Direct
0.500 0.500 0.500
0.000 0.000 0.500
0.000 0.500 0.000
0.500 0.000 0.000
0.000 0.000 0.000
```

Output
- Magnetization: 0.00 μB/cell
- ρ: 11.1 g cm⁻³

How do the energies compare? Relative to the most stable structure, in meV per atom: model one 89; model two 0.

Model one:
A plane-wave DFT calculation with GGA-PBE was carried out for an optimized crystal structure of YHgHPd2.

The structure in POSCAR format:
```
YHgHPd2
1.0
4.201 0.000 0.000
0.000 4.687 0.000
0.000 0.000 4.201
Pd Hg Y H
2 1 1 1
Direct
0.000 0.000 0.500
0.500 0.000 0.000
0.000 0.500 0.000
0.500 0.500 0.500
0.000 0.000 0.000
```

Output
- Magnetization: 0.00 μB/cell
- ρ: 10.1 g cm⁻³

Model two:
A plane-wave DFT calculation with GGA-PBE was carried out for an optimized crystal structure of YHgHPd2.

The structure in POSCAR format:
```
YHgHPd2
1.0
-1.918 -1.350 -3.556
3.373 -2.444 -0.892
-1.844 -3.376 2.275
Y Pd H Hg
1 2 1 1
Direct
0.000 0.000 0.500
0.500 0.000 0.000
0.000 0.500 0.000
0.000 0.000 0.000
0.500 0.500 0.500
```

Output
- Magnetization: 0.00 μB/cell
- ρ: 10.3 g cm⁻³

How do the energies compare? Relative to the most stable structure, in meV per atom: model one 143; model two 0.

Model one:
A plane-wave DFT calculation with GGA-PBE was carried out for an optimized crystal structure of Pm4Hg2H.

The structure in POSCAR format:
```
Pm4Hg2H
1.0
4.834 0.000 0.000
0.000 4.834 0.000
-2.417 -2.417 7.972
Pm Hg H
4 2 1
Direct
0.000 0.500 0.000
0.182 0.182 0.363
0.818 0.818 0.637
0.500 0.000 0.000
0.368 0.368 0.737
0.632 0.632 0.263
0.000 0.000 0.000
```

Output
- Magnetization: 0.00 μB/cell
- ρ: 8.8 g cm⁻³

Model two:
A plane-wave DFT calculation with GGA-PBE was carried out for an optimized crystal structure of Pm4Hg2H.

The structure in POSCAR format:
```
Pm4Hg2H
1.0
7.028 0.000 0.179
0.000 6.944 0.000
-2.385 0.000 7.735
Hg Pm H
4 8 2
Direct
0.762 0.750 0.598
0.238 0.250 0.402
0.271 0.250 0.972
0.729 0.750 0.028
0.537 0.507 0.270
0.880 0.250 0.077
0.463 0.493 0.730
0.537 0.993 0.270
0.463 0.007 0.730
0.120 0.750 0.923
0.085 0.750 0.383
0.915 0.250 0.617
0.295 0.750 0.206
0.705 0.250 0.794
```

Output
- Magnetization: 0.01 μB/cell
- ρ: 8.6 g cm⁻³

How do the energies compare? Relative to the most stable structure, in meV per atom: model one 27; model two 0.

Model one:
A plane-wave DFT calculation with GGA-PBE was carried out for an optimized crystal structure of Pr3HgH.

The structure in POSCAR format:
```
Pr3HgH
1.0
0.366 3.680 -0.952
-6.719 -5.273 -0.047
1.552 4.535 10.620
Pr H Hg
6 2 2
Direct
0.861 0.967 0.180
0.889 0.721 0.384
0.025 0.383 0.096
0.111 0.279 0.616
0.975 0.617 0.904
0.139 0.033 0.820
0.950 0.683 0.150
0.050 0.317 0.850
0.256 0.710 0.618
0.744 0.290 0.382
```

Output
- Magnetization: 0.00 μB/cell
- ρ: 7.9 g cm⁻³

Model two:
A plane-wave DFT calculation with GGA-PBE was carried out for an optimized crystal structure of Pr3HgH.

The structure in POSCAR format:
```
Pr3HgH
1.0
3.791 0.000 0.000
0.000 9.053 0.000
0.000 0.000 15.189
Pr Hg H
12 4 4
Direct
0.250 0.169 0.509
0.250 0.813 0.697
0.750 0.187 0.303
0.750 0.483 0.602
0.250 0.517 0.398
0.750 0.331 0.009
0.750 0.687 0.197
0.750 0.831 0.491
0.250 0.313 0.803
0.250 0.017 0.102
0.250 0.669 0.991
0.750 0.983 0.898
0.250 0.394 0.178
0.750 0.106 0.678
0.250 0.894 0.322
0.750 0.606 0.822
0.750 0.338 0.449
0.250 0.662 0.551
0.750 0.838 0.051
0.250 0.162 0.949
```

Output
- Magnetization: 0.00 μB/cell
- ρ: 8.0 g cm⁻³

Model three:
A plane-wave DFT calculation with GGA-PBE was carried out for an optimized crystal structure of Pr3HgH.

The structure in POSCAR format:
```
Pr3HgH
1.0
5.031 0.000 0.000
0.000 5.031 0.000
0.000 0.000 5.031
H Pr Hg
1 3 1
Direct
0.000 0.000 0.000
0.500 0.000 0.000
0.000 0.500 0.000
0.000 0.000 0.500
0.500 0.500 0.500
```

Output
- Magnetization: 0.53 μB/cell
- ρ: 8.1 g cm⁻³

How do the energies compare? Relative to the most stable structure, in meV per atom: model one 12; model two 0; model three 53.

Model one:
A plane-wave DFT calculation with GGA-PBE was carried out for an optimized crystal structure of PrHgH.

The structure in POSCAR format:
```
PrHgH
1.0
-3.473 0.892 -1.772
0.635 -3.688 1.414
-1.820 1.306 4.224
Pr Hg H
1 1 1
Direct
0.667 0.333 0.500
0.000 0.000 0.000
0.333 0.667 0.501
```

Output
- Magnetization: 0.00 μB/cell
- ρ: 8.6 g cm⁻³

Model two:
A plane-wave DFT calculation with GGA-PBE was carried out for an optimized crystal structure of PrHgH.

The structure in POSCAR format:
```
PrHgH
1.0
-2.170 -3.358 0.005
1.853 -1.202 -3.332
5.329 -3.434 4.207
Pr H Hg
2 2 2
Direct
0.480 0.493 0.706
0.981 0.993 0.051
0.481 0.993 0.879
0.980 0.493 0.879
0.980 0.992 0.486
0.481 0.493 0.271
```

Output
- Magnetization: 0.00 μB/cell
- ρ: 9.4 g cm⁻³

How do the energies compare? Relative to the most stable structure, in meV per atom: model one 149; model two 0.

Model one:
A plane-wave DFT calculation with GGA-PBE was carried out for an optimized crystal structure of Hg2HPt.

The structure in POSCAR format:
```
Hg2HPt
1.0
-1.528 1.043 -2.308
-6.982 -3.224 3.166
0.543 4.382 5.660
Pt Hg H
2 4 2
Direct
0.889 0.000 0.565
0.889 0.500 0.065
0.645 0.782 0.828
0.645 0.218 0.828
0.645 0.718 0.328
0.645 0.282 0.328
0.230 0.000 0.418
0.230 0.500 0.918
```

Output
- Magnetization: 0.00 μB/cell
- ρ: 12.5 g cm⁻³

Model two:
A plane-wave DFT calculation with GGA-PBE was carried out for an optimized crystal structure of Hg2HPt.

The structure in POSCAR format:
```
Hg2HPt
1.0
3.083 0.002 -0.016
-1.509 5.134 0.058
-0.031 -0.921 5.385
H Hg Pt
1 2 1
Direct
0.464 0.790 0.495
0.034 0.942 0.062
0.780 0.410 0.606
0.038 0.943 0.562
```

Output
- Magnetization: 0.00 μB/cell
- ρ: 11.6 g cm⁻³

Model three:
A plane-wave DFT calculation with GGA-PBE was carried out for an optimized crystal structure of Hg2HPt.

The structure in POSCAR format:
```
Hg2HPt
1.0
0.000 3.267 3.267
3.267 0.000 3.267
3.267 3.267 0.000
Hg Pt H
2 1 1
Direct
0.250 0.250 0.250
0.750 0.750 0.750
0.500 0.500 0.500
0.000 0.000 0.000
```

Output
- Magnetization: 0.68 μB/cell
- ρ: 14.2 g cm⁻³

How do the energies compare? Relative to the most stable structure, in meV per atom: model one 12; model two 0; model three 570.